Entry 1:
MgGe2Rh after structural relaxation, computed with GGA-PBE.

Calculated formation energy   -361 meV per atom
Space group   No. 160
Density of states at the Fermi level   0.346 states/eV/atom
Calculated total energy   -19.63 eV/f.u.
Total magnetization   0.000 μB per formula unit

Unit cell a=4.2189 b=4.2189 c=5.2023 alpha=66.08 beta=66.08 gamma=60.00
Closest atoms and distances in Å follow each position.
Sites, in units of the cell vectors:
Ge1 0.0592 0.0592 0.8223  3 Rh 2.51, 3 Mg 2.77
Mg1 0.4887 0.4887 0.5340  1 Rh 2.66, 6 Ge 2.77-2.91
Rh1 0.6815 0.6815 0.9555  6 Ge 2.51-2.66, 1 Mg 2.66
Ge2 0.2706 0.2706 0.1882  3 Rh 2.66, 3 Mg 2.91, 4 Ge 2.91-2.96



Entry 2:
Mg2Ge4Rh3 after structural relaxation, computed with GGA-PBE.

Calculated formation energy   -347 meV per atom
Space group   No. 69
Density of states at the Fermi level   0.465 states/eV/atom
Calculated total energy   -46.84 eV/f.u.
Total magnetization   0.000 μB per formula unit

Unit cell a=5.4655 b=5.4655 c=6.6153 alpha=102.44 beta=102.44 gamma=118.58
Closest atoms and distances in Å follow each position.
Sites, in units of the cell vectors:
Rh1 0.0000 0.5000 0.0000  4 Ge 2.52, 4 Rh 2.73-2.79
Ge1 0.9939 0.3309 0.3248  3 Rh 2.51-2.52, 1 Ge 2.60
Rh2 0.5000 0.0000 0.0000  4 Ge 2.52, 4 Rh 2.73-2.79
Mg1 0.6181 0.6181 0.2362  1 Mg 2.83, 4 Ge 3.07-3.16, 6 Rh 3.08-3.13
Mg2 0.3819 0.3819 0.7638  1 Mg 2.83, 4 Ge 3.07-3.16, 6 Rh 3.08-3.13
Ge2 0.0061 0.6691 0.6752  3 Rh 2.51-2.52, 1 Ge 2.60
Ge3 0.6691 0.0061 0.6752  3 Rh 2.51-2.52, 1 Ge 2.60
Ge4 0.3309 0.9939 0.3248  3 Rh 2.51-2.52, 1 Ge 2.60
Rh3 0.0000 0.0000 0.0000  4 Ge 2.51, 4 Rh 2.73



Entry 3:
Mg4Ge6Rh7 after structural relaxation, computed with GGA-PBE.

Calculated formation energy   -573 meV per atom
Space group   No. 229
Density of states at the Fermi level   0.429 states/eV/atom
Calculated total energy   -95.28 eV/f.u.
Total magnetization   0.000 μB per formula unit

Unit cell a=7.0499 b=7.0499 c=7.0499 alpha=109.47 beta=109.47 gamma=109.47
Closest atoms and distances in Å follow each position.
Sites, in units of the cell vectors:
Ge1 0.0000 0.6879 0.6879  5 Rh 2.54-2.55
Mg1 0.5000 0.5000 0.5000  6 Rh 2.88, 6 Ge 2.92
Ge2 0.0000 0.3121 0.3121  5 Rh 2.54-2.55
Rh1 0.0000 0.0000 0.0000  6 Ge 2.54
Mg2 0.5000 0.0000 0.0000  6 Rh 2.88, 6 Ge 2.92
Rh2 0.2500 0.7500 0.5000  4 Ge 2.55
Rh3 0.2500 0.5000 0.7500  4 Ge 2.55
Rh4 0.5000 0.7500 0.2500  4 Ge 2.55
Mg3 0.0000 0.0000 0.5000  6 Rh 2.88, 6 Ge 2.92
Ge3 0.6879 0.6879 0.0000  5 Rh 2.54-2.55
Ge4 0.6879 0.0000 0.6879  5 Rh 2.54-2.55
Rh5 0.7500 0.5000 0.2500  4 Ge 2.55
Rh6 0.5000 0.2500 0.7500  4 Ge 2.55
Ge5 0.3121 0.3121 0.0000  5 Rh 2.54-2.55
Ge6 0.3121 0.0000 0.3121  5 Rh 2.54-2.55
Rh7 0.7500 0.2500 0.5000  4 Ge 2.55
Mg4 0.0000 0.5000 0.0000  6 Rh 2.88, 6 Ge 2.92